1.
## SmHo8Er3 (PBE-GGA)

Data for a relaxed SmHo8Er3 crystal.

Geometry as POSCAR:
```
SmHo8Er3
1.0
-3.198 5.585 5.646
3.198 -5.585 5.646
3.198 5.585 -5.646
Sm Ho Er
1 8 3
Direct
0.000 0.000 0.000
0.083 0.251 0.832
0.255 0.247 0.503
0.255 0.753 0.008
0.419 0.251 0.168
0.581 0.749 0.832
0.745 0.247 0.992
0.745 0.753 0.497
0.917 0.749 0.168
0.255 0.755 0.500
0.500 0.500 0.000
0.745 0.245 0.500
```

Properties
**Calculated volume**: 33.61 A^3/atom
**Symmetry**: Immm (71)
**E_tot**: -4.2522 eV per atom

***

2.
## SmHo2Er (PBE-GGA)

Data for a relaxed SmHo2Er crystal.

Geometry as POSCAR:
```
SmHo2Er
1.0
7.997 0.000 0.000
0.000 7.997 0.000
0.000 0.000 7.997
Sm Ho Er
4 8 4
Direct
0.000 0.000 0.000
0.000 0.500 0.500
0.500 0.000 0.500
0.500 0.500 0.000
0.250 0.250 0.250
0.250 0.250 0.750
0.250 0.750 0.250
0.250 0.750 0.750
0.750 0.250 0.250
0.750 0.250 0.750
0.750 0.750 0.250
0.750 0.750 0.750
0.000 0.000 0.500
0.000 0.500 0.000
0.500 0.000 0.000
0.500 0.500 0.500
```

Properties
**Calculated volume**: 31.96 A^3/atom
**Symmetry**: Fm-3m (225)
**Distance to the lowest polymorph of the same formula**: 0.131 eV per atom

***

3.
## SmHo6Er4 (PBE-GGA)

Data for a relaxed SmHo6Er4 crystal.

Geometry as POSCAR:
```
SmHo6Er4
1.0
2.822 -4.792 0.000
2.822 4.792 0.000
0.000 0.000 25.513
Sm Ho Er
2 12 8
Direct
0.184 0.816 0.750
0.816 0.184 0.250
0.147 0.853 0.181
0.147 0.853 0.319
0.186 0.814 0.602
0.186 0.814 0.898
0.482 0.518 0.250
0.500 0.500 0.000
0.500 0.500 0.500
0.518 0.482 0.750
0.814 0.186 0.102
0.814 0.186 0.398
0.853 0.147 0.681
0.853 0.147 0.819
0.159 0.841 0.042
0.159 0.841 0.458
0.476 0.524 0.121
0.476 0.524 0.379
0.524 0.476 0.621
0.524 0.476 0.879
0.841 0.159 0.542
0.841 0.159 0.958
```

Properties
**Calculated volume**: 31.37 A^3/atom
**Symmetry**: Cmcm (63)
**Distance to the lowest polymorph of the same formula**: 0.000 eV per atom

***

4.
## Sm3Ho2Er2 (PBE-GGA)

Data for a relaxed Sm3Ho2Er2 crystal.

Geometry as POSCAR:
```
Sm3Ho2Er2
1.0
3.561 0.000 0.000
-1.780 5.909 0.000
-0.018 -1.104 10.632
Sm Ho Er
3 2 2
Direct
0.000 0.000 0.000
0.142 0.285 0.572
0.858 0.715 0.428
0.286 0.571 0.142
0.714 0.429 0.858
0.428 0.855 0.716
0.572 0.145 0.284
```

Properties
**Calculated volume**: 31.96 A^3/atom
**Symmetry**: P-1 (2)
**Distance to the lowest polymorph of the same formula**: 0.000 eV per atom

***

5.
## Sm6HoEr8 (PBE-GGA)

Data for a relaxed Sm6HoEr8 crystal.

Geometry as POSCAR:
```
Sm6HoEr8
1.0
9.414 0.000 0.000
-4.707 8.153 0.000
0.000 0.000 6.512
Sm Ho Er
6 1 8
Direct
0.089 0.679 0.093
0.321 0.410 0.093
0.410 0.089 0.907
0.590 0.911 0.093
0.679 0.590 0.907
0.911 0.321 0.907
0.000 0.000 0.000
0.022 0.332 0.400
0.310 0.978 0.400
0.332 0.310 0.600
0.333 0.667 0.656
0.667 0.333 0.344
0.668 0.690 0.400
0.690 0.022 0.600
0.978 0.668 0.600
```

Properties
**Calculated volume**: 33.32 A^3/atom
**Symmetry**: P-3 (147)
**E_tot**: -4.3874 eV per atom

***

6.
## Sm2HoEr5 (PBE-GGA)

Data for a relaxed Sm2HoEr5 crystal.

Geometry as POSCAR:
```
Sm2HoEr5
1.0
2.810 -8.127 0.000
2.810 8.127 0.000
0.000 0.000 11.380
Sm Ho Er
4 2 10
Direct
0.211 0.789 0.582
0.211 0.789 0.918
0.789 0.211 0.082
0.789 0.211 0.418
0.228 0.772 0.250
0.772 0.228 0.750
0.044 0.956 0.112
0.044 0.956 0.388
0.395 0.605 0.750
0.414 0.586 0.079
0.414 0.586 0.421
0.586 0.414 0.579
0.586 0.414 0.921
0.605 0.395 0.250
0.956 0.044 0.612
0.956 0.044 0.888
```

Properties
**Calculated volume**: 32.49 A^3/atom
**Symmetry**: Cmcm (63)
**Distance to the lowest polymorph of the same formula**: 0.120 eV per atom